Density functional theory data (PBE) for a relaxed SrYTe2 crystal.

## Properties
The total magnetization is 0.000 μB/atom. The formation energy without anion corrections comes out at -1.304 eV/atom. Its space-group type is No. 38. The offset from the most stable computed form comes out at 202.9 meV/atom. The density of states at the Fermi level is 0.748 states/eV/atom.

Unit cell a=4.663 b=6.996 c=6.996 alpha=36.03 beta=90.00 gamma=90.00
Atoms (fractional coordinates):
Sr: 0.000 0.000 0.000
Y: 0.500 0.273 0.273
Te: 0.000 0.749 0.749
Te: 0.500 0.501 0.501

***

Density functional theory data (PBE) for a relaxed LaBe2As crystal.

## Properties
The total magnetization is 0.000 μB/atom. Its space-group type is No. 12. As for the energy of formation from the pure elements: 0.44 eV/atom. The density of states at the Fermi level is 0.373 states/eV/atom.

Unit cell a=5.761 b=5.761 c=2.998 alpha=103.80 beta=103.80 gamma=118.79
Atoms (fractional coordinates):
La: 0.000 0.000 0.000
Be: 0.000 0.500 0.500
Be: 0.500 0.000 0.500
As: 0.500 0.500 0.000

***

Density functional theory data (PBE) for a relaxed Ce4SmHo3S8 crystal.

## Properties
The total magnetization is 0.172 μB/atom. The formation energy without anion corrections comes out at -2.025 eV/atom. Its space-group type is No. 166. The density of states at the Fermi level is 1.351 states/eV/atom.

Unit cell a=7.972 b=7.972 c=7.972 alpha=59.50 beta=59.50 gamma=59.50
Atoms (fractional coordinates):
Ce: 0.000 0.000 0.000
Ce: 0.000 0.500 0.500
Ce: 0.500 0.000 0.500
Ce: 0.500 0.500 0.000
Sm: 0.500 0.500 0.500
Ho: 0.000 0.000 0.500
Ho: 0.000 0.500 0.000
Ho: 0.500 0.000 0.000
S: 0.241 0.749 0.749
S: 0.245 0.245 0.245
S: 0.251 0.251 0.759
S: 0.251 0.759 0.251
S: 0.749 0.241 0.749
S: 0.749 0.749 0.241
S: 0.755 0.755 0.755
S: 0.759 0.251 0.251

***

Density functional theory data (PBE) for a relaxed Nd3YHo2Te6 crystal.

## Properties
The total magnetization is 0.000 μB/atom. The formation energy without anion corrections comes out at -1.350 eV/atom. Its space-group type is No. 12. The density of states at the Fermi level is 0.509 states/eV/atom.

Unit cell a=9.935 b=9.935 c=8.948 alpha=104.27 beta=104.27 gamma=25.44
Atoms (fractional coordinates):
Nd: 0.000 0.000 0.000
Nd: 0.334 0.334 0.667
Nd: 0.666 0.666 0.333
Y: 0.000 0.000 0.500
Ho: 0.334 0.334 0.167
Ho: 0.666 0.666 0.833
Te: 0.165 0.165 0.592
Te: 0.170 0.170 0.076
Te: 0.497 0.497 0.256
Te: 0.503 0.503 0.744
Te: 0.830 0.830 0.924
Te: 0.835 0.835 0.408

***

Density functional theory data (PBE) for a relaxed Er12Sc3In crystal.

## Properties
The total magnetization is 0.000 μB/atom. Its space-group type is No. 123. As for the energy of formation from the pure elements: -0.04 eV/atom. The density of states at the Fermi level is 1.301 states/eV/atom.

Unit cell a=4.837 b=4.837 c=19.608 alpha=90.00 beta=90.00 gamma=90.00
Atoms (fractional coordinates):
Er: 0.000 0.000 0.000
Er: 0.000 0.000 0.248
Er: 0.000 0.000 0.500
Er: 0.000 0.000 0.752
Er: 0.000 0.500 0.125
Er: 0.000 0.500 0.374
Er: 0.000 0.500 0.626
Er: 0.000 0.500 0.875
Er: 0.500 0.000 0.125
Er: 0.500 0.000 0.374
Er: 0.500 0.000 0.626
Er: 0.500 0.000 0.875
Sc: 0.500 0.500 0.250
Sc: 0.500 0.500 0.500
Sc: 0.500 0.500 0.750
In: 0.500 0.500 0.000

***

Density functional theory data (PBE) for a relaxed Pu5As5O2 crystal.

## Properties
The total magnetization is 0.411 μB/atom. The formation energy without anion corrections comes out at -1.386 eV/atom. Its space-group type is No. 12. The density of states at the Fermi level is 3.595 states/eV/atom.

Unit cell a=7.007 b=7.007 c=10.145 alpha=106.65 beta=106.65 gamma=33.00
Atoms (fractional coordinates):
Pu: 0.000 0.000 0.000
Pu: 0.100 0.100 0.376
Pu: 0.348 0.348 0.208
Pu: 0.652 0.652 0.792
Pu: 0.900 0.900 0.624
As: 0.248 0.248 0.649
As: 0.338 0.338 0.901
As: 0.500 0.500 0.500
As: 0.662 0.662 0.099
As: 0.752 0.752 0.351
O: 0.048 0.048 0.804
O: 0.952 0.952 0.196

***

Density functional theory data (PBE) for a relaxed LiSm3Te3 crystal.

## Properties
The total magnetization is 0.000 μB/atom. The formation energy without anion corrections comes out at -1.094 eV/atom. Its space-group type is No. 176. The offset from the most stable computed form comes out at 72.5 meV/atom. The density of states at the Fermi level is 0.771 states/eV/atom.

Unit cell a=9.114 b=9.114 c=6.169 alpha=90.00 beta=90.00 gamma=120.00
Atoms (fractional coordinates):
Li: 0.333 0.667 0.250
Li: 0.667 0.333 0.750
Sm: 0.084 0.677 0.750
Sm: 0.323 0.407 0.750
Sm: 0.407 0.084 0.250
Sm: 0.593 0.916 0.750
Sm: 0.677 0.593 0.250
Sm: 0.916 0.323 0.250
Te: 0.068 0.720 0.250
Te: 0.280 0.348 0.250
Te: 0.348 0.068 0.750
Te: 0.652 0.932 0.250
Te: 0.720 0.652 0.750
Te: 0.932 0.280 0.750